[1]
{
  "formula": "K17Rb2",
  "functional": "PBE-GGA",
  "state": "relaxed",
  "cell": [[7.502, 4.331, 7.588], [-7.502, 4.331, 7.588], [0.000, -8.662, 7.588]],
  "species": ["K", "K", "K", "K", "K", "K", "K", "K", "K", "K", "K", "K", "K", "K", "K", "K", "K", "Rb", "Rb"],
  "frac_coords": [[0.000, 0.000, 0.500], [0.000, 0.304, 0.696], [0.000, 0.500, 0.000], [0.000, 0.696, 0.304], [0.097, 0.097, 0.097], [0.156, 0.646, 0.646], [0.304, 0.000, 0.696], [0.304, 0.696, 0.000], [0.354, 0.354, 0.844], [0.354, 0.844, 0.354], [0.500, 0.000, 0.000], [0.646, 0.156, 0.646], [0.646, 0.646, 0.156], [0.696, 0.000, 0.304], [0.696, 0.304, 0.000], [0.844, 0.354, 0.354], [0.903, 0.903, 0.903], [0.327, 0.327, 0.327], [0.673, 0.673, 0.673]],
  "sg": "No. 166",
  "e_form_ev_per_atom": 0.0318
}

---

[2]
{
  "formula": "K4Rb3",
  "functional": "PBE-GGA",
  "state": "relaxed",
  "cell": [[11.584, -2.303, 0.000], [11.584, 2.303, 0.000], [-5.499, 0.000, 10.559]],
  "species": ["K", "K", "K", "K", "Rb", "Rb", "Rb"],
  "frac_coords": [[0.071, 0.071, 0.200], [0.363, 0.363, 0.085], [0.637, 0.637, 0.915], [0.929, 0.929, 0.800], [0.000, 0.000, 0.500], [0.223, 0.223, 0.654], [0.777, 0.777, 0.346]],
  "sg": "No. 12",
  "e_form_ev_per_atom": 0.0197
}

---

[3]
{
  "formula": "KRb4",
  "functional": "PBE-GGA",
  "state": "relaxed",
  "cell": [[8.777, 0.000, 0.000], [0.000, 13.106, 0.000], [-3.081, 0.000, 7.802]],
  "species": ["K", "K", "Rb", "Rb", "Rb", "Rb", "Rb", "Rb", "Rb", "Rb"],
  "frac_coords": [[0.000, 0.109, 0.250], [0.000, 0.891, 0.750], [0.246, 0.420, 0.486], [0.246, 0.580, 0.986], [0.328, 0.172, 0.938], [0.328, 0.828, 0.438], [0.672, 0.172, 0.562], [0.672, 0.828, 0.062], [0.754, 0.420, 0.014], [0.754, 0.580, 0.514]],
  "sg": "No. 13",
  "e_form_ev_per_atom": 0.0337
}